# 1
Density functional theory data (PBE) for a relaxed structure of LaH4RhAu2.

extended XYZ file:
```
8
Lattice="5.1735 -0.1144 0.0128 -0.1167 5.9416 -0.1603 -2.5204 -2.9955 3.3965" Properties=species:S:1:pos:R:3 pbc="T T T"
La 2.6707 -0.2827 3.1869
Rh 2.4248 2.7172 1.6804
Au 0.2158 -0.0951 1.2318
Au 0.1669 -2.4192 3.2064
H 3.7751 3.7054 1.5760
H 3.4724 1.3834 1.4617
H 0.8595 1.9823 2.0908
H 1.7404 4.1571 1.1468
```

- Total DFT energy (no corrections): -4.320 eV per atom
- Symmetry: No. 1
- Crystal system: triclinic

=====

# 2
Density functional theory data (PBE) for a relaxed structure of LaH8Rh4Au.

extended XYZ file:
```
14
Lattice="-5.2485 2.1649 -0.0648 -4.4945 -3.4367 0.4752 -3.1073 0.0612 4.9727" Properties=species:S:1:pos:R:3 pbc="T T T"
H -7.1912 -2.4333 3.6670
H -7.6678 1.1074 3.3257
H -5.9491 0.5240 1.8648
H -3.2008 -0.2619 1.7525
H -7.7375 -0.8434 2.0539
H -9.6422 -0.9233 3.8850
H -5.6491 -1.7049 2.0797
H -4.3502 -0.2610 3.3667
Rh -1.5209 0.0236 2.3685
Rh -3.8182 -1.7329 2.6114
Rh -4.2035 1.1301 2.3354
Rh -6.4800 -0.7948 0.8032
La -6.3740 -0.4285 4.4543
Au -9.7427 -1.2707 0.4219
```

- Total DFT energy (no corrections): -4.776 eV per atom
- Symmetry: No. 160
- Crystal system: trigonal

=====

# 3
Density functional theory data (PBE) for a relaxed structure of LaTeHRhAu.

extended XYZ file:
```
10
Lattice="-6.3889 -2.5465 0.2760 1.4053 -3.3919 1.2345 1.7744 3.4868 7.5600" Properties=species:S:1:pos:R:3 pbc="T T T"
Te -0.5398 -0.5866 5.0793
Te -2.1297 -0.6341 0.6820
Rh -0.6261 -1.5134 2.6312
Rh -0.4415 1.9259 5.7940
H -3.8840 -0.2774 3.6591
H -2.2942 -0.2299 8.0564
La -5.8197 -1.5018 2.4981
La -4.2298 -1.4544 6.8954
Au -2.9021 1.4377 7.2534
Au -3.0867 -2.0016 4.0906
```

- Excess energy over the best structure of this formula in the dataset: 164 meV per atom
- Total DFT energy (no corrections): -4.891 eV per atom
- Symmetry: No. 8
- Crystal system: monoclinic

=====

# 4
Density functional theory data (PBE) for a relaxed structure of LaTeHRhAu.

extended XYZ file:
```
5
Lattice="-3.5747 -1.4090 2.7374 -1.7693 -1.3941 -3.0280 2.5330 -4.9101 0.7805" Properties=species:S:1:pos:R:3 pbc="T T T"
Te -1.6467 -0.9772 1.4121
Rh 0.7383 -1.4312 0.2275
Au 1.9537 -3.7872 0.6020
La -1.3215 -4.0194 0.2708
H -0.0993 -2.2194 -1.2720
```

- Excess energy over the best structure of this formula in the dataset: 11 meV per atom
- Total DFT energy (no corrections): -5.045 eV per atom
- Symmetry: No. 25
- Crystal system: orthorhombic

=====

# 5
Density functional theory data (PBE) for a relaxed structure of LaTeHRhAu.

extended XYZ file:
```
5
Lattice="4.0958 -0.0006 0.0010 -0.0041 4.1451 -0.0008 -1.7977 -1.9481 5.9863" Properties=species:S:1:pos:R:3 pbc="T T T"
Te 1.9566 2.4894 0.1487
H -0.4781 0.2763 2.5517
La 2.1826 2.6123 4.6450
Rh -0.6393 2.6524 2.4451
Au 1.3631 0.5662 2.3194
```

- Excess energy over the best structure of this formula in the dataset: 98 meV per atom
- Total DFT energy (no corrections): -4.958 eV per atom
- Symmetry: No. 1
- Crystal system: triclinic

=====

# 6
Density functional theory data (PBE) for a relaxed structure of LaTeHRhAu.

extended XYZ file:
```
15
Lattice="4.6565 0.0000 0.0000 -2.3283 4.0327 0.0000 0.0000 0.0000 15.4956" Properties=species:S:1:pos:R:3 pbc="T T T"
Te 2.3283 1.3442 14.2400
Te 0.0000 2.6884 3.9096
Te 0.0000 0.0000 9.0748
Rh 2.3283 1.3442 3.7246
Rh 0.0000 0.0000 14.0550
Rh 0.0000 2.6884 8.8898
H 0.0000 0.0000 0.2764
H 2.3283 1.3442 5.4416
H 0.0000 2.6884 10.6068
La 2.3283 1.3442 10.9944
La 0.0000 0.0000 5.8292
La 0.0000 2.6884 0.6640
Au 0.0000 0.0000 2.2925
Au 2.3283 1.3442 7.4577
Au 0.0000 2.6884 12.6230
```

- Excess energy over the best structure of this formula in the dataset: 0 meV per atom
- Total DFT energy (no corrections): -5.055 eV per atom
- Symmetry: No. 160
- Crystal system: trigonal

=====

# 7
Density functional theory data (PBE) for a relaxed structure of LaTeHRhAu.

extended XYZ file:
```
10
Lattice="6.3072 0.0000 0.0539 0.0000 4.5049 0.0000 -0.0462 0.0000 7.8138" Properties=species:S:1:pos:R:3 pbc="T T T"
Au 1.4758 0.0000 3.0860
Au 1.4527 2.2524 6.9929
La 3.5018 0.0000 0.4949
La 3.4788 2.2524 4.4019
Rh 5.0445 2.2524 7.0177
Rh 5.0675 0.0000 3.1108
H 3.3252 0.0000 3.0939
H 3.3021 2.2524 7.0008
Te 5.7263 2.2524 1.8110
Te 5.7032 0.0000 5.7179
```

- Excess energy over the best structure of this formula in the dataset: 34 meV per atom
- Total DFT energy (no corrections): -5.021 eV per atom
- Symmetry: No. 8
- Crystal system: monoclinic

=====

# 8
Density functional theory data (PBE) for a relaxed structure of LaTeHRhAu.

extended XYZ file:
```
10
Lattice="-2.8771 1.8794 3.1568 -0.7886 -4.9078 2.2032 6.1524 1.1623 4.7914" Properties=species:S:1:pos:R:3 pbc="T T T"
H 3.8372 2.3900 6.6976
H 0.3667 -0.6451 5.4034
Te 4.4008 -1.3625 5.2492
Te 1.7189 0.5102 1.7519
Rh 1.9637 -0.6268 6.0157
Rh -0.7183 1.2459 2.5184
Au 5.4274 1.2577 4.7445
Au 1.9569 -1.7773 3.4504
La -1.2504 -1.2391 3.5013
La 2.2202 1.7960 4.7954
```

- Excess energy over the best structure of this formula in the dataset: 21 meV per atom
- Total DFT energy (no corrections): -5.034 eV per atom
- Symmetry: No. 8
- Crystal system: monoclinic

=====

# 9
Density functional theory data (PBE) for a relaxed structure of LaTeHRhAu.

extended XYZ file:
```
10
Lattice="5.8125 0.0000 0.0022 0.0000 4.6759 0.0000 -3.8631 0.0000 7.0743" Properties=species:S:1:pos:R:3 pbc="T T T"
H 1.4703 2.3380 6.9683
H 3.4019 0.0000 3.4311
Au 4.1580 0.0000 1.5697
Au 2.2264 2.3380 5.1068
Rh 1.7078 0.0000 3.4460
Rh -0.2238 2.3380 6.9832
La -2.9575 0.0000 7.0084
La -1.0259 2.3380 3.4713
Te 1.8932 2.3380 1.9929
Te -0.0383 0.0000 5.5301
```

- Excess energy over the best structure of this formula in the dataset: 26 meV per atom
- Total DFT energy (no corrections): -5.029 eV per atom
- Symmetry: No. 8
- Crystal system: monoclinic

=====

# 10
Density functional theory data (PBE) for a relaxed structure of LaTeHRhAu.

extended XYZ file:
```
10
Lattice="4.6287 0.0000 0.0153 0.0000 4.8878 0.0000 -2.7516 0.0000 9.3571" Properties=species:S:1:pos:R:3 pbc="T T T"
Rh 1.1426 0.0000 1.7724
Rh -0.2332 2.4439 6.4510
La -0.3271 2.4439 2.9329
La -1.7029 0.0000 7.6114
H 0.4207 0.0000 3.3539
H -0.9551 2.4439 8.0324
Au 0.5369 0.0000 5.2803
Au 1.9127 2.4439 0.6018
Te 3.4536 0.0000 0.6102
Te 2.0778 2.4439 5.2887
```

- Excess energy over the best structure of this formula in the dataset: 54 meV per atom
- Total DFT energy (no corrections): -5.002 eV per atom
- Symmetry: No. 8
- Crystal system: monoclinic

=====

# 11
Density functional theory data (PBE) for a relaxed structure of LaTeHRhAu.

extended XYZ file:
```
5
Lattice="-1.1666 -4.1016 -0.0451 3.9587 -2.3503 0.7184 0.7817 -1.4293 5.9538" Properties=species:S:1:pos:R:3 pbc="T T T"
Te 1.5845 -5.5463 0.4898
Rh 2.1055 -3.5183 2.2769
Au 1.3251 -2.2630 4.5232
H 1.7752 -4.4786 3.5463
La 3.2534 -6.4736 3.1883
```

- Excess energy over the best structure of this formula in the dataset: 17 meV per atom
- Total DFT energy (no corrections): -5.039 eV per atom
- Symmetry: No. 1
- Crystal system: triclinic

=====

# 12
Density functional theory data (PBE) for a relaxed structure of LaTeHRhAu.

extended XYZ file:
```
5
Lattice="-0.7747 -4.1811 -0.4004 2.9180 1.3198 -3.1491 4.0139 -0.0079 4.6628" Properties=species:S:1:pos:R:3 pbc="T T T"
Au 4.1244 -2.8204 1.8299
La 4.4407 -0.4843 -0.1613
Te 0.9147 -0.7610 -0.2083
Rh 2.7494 -1.6145 -1.9742
H 2.1897 -2.8232 -1.0985
```

- Excess energy over the best structure of this formula in the dataset: 129 meV per atom
- Total DFT energy (no corrections): -4.926 eV per atom
- Symmetry: No. 1
- Crystal system: triclinic

=====

# 13
Density functional theory data (PBE) for a relaxed structure of LaH2RuAu.

extended XYZ file:
```
5
Lattice="4.0196 0.0000 0.0000 0.0000 5.1528 0.0000 0.0000 0.0000 4.0196" Properties=species:S:1:pos:R:3 pbc="T T T"
La 2.0098 2.5764 2.0098
H 2.0098 0.0000 0.0000
H 0.0000 0.0000 2.0098
Ru 0.0000 0.0000 0.0000
Au 0.0000 2.5764 0.0000
```

- Total DFT energy (no corrections): -4.760 eV per atom
- Symmetry: No. 123
- Crystal system: tetragonal

=====

# 14
Density functional theory data (PBE) for a relaxed structure of La2SbHAu.

extended XYZ file:
```
5
Lattice="-1.2600 -4.9235 -1.3906 4.8010 -0.6431 -2.0733 1.4014 -1.3976 3.6787" Properties=species:S:1:pos:R:3 pbc="T T T"
La 2.4005 -0.3215 -1.0367
La -0.6300 -2.4618 -0.6953
Sb 2.4712 -3.4821 0.1074
Au 0.7007 -0.6988 1.8393
H 0.0000 0.0000 0.0000
```

- Total DFT energy (no corrections): -4.877 eV per atom
- Symmetry: No. 123
- Crystal system: tetragonal

=====

# 15
Density functional theory data (PBE) for a relaxed structure of LaSbHAu2.

extended XYZ file:
```
5
Lattice="-0.2980 3.6359 -2.7993 -1.4817 -2.7311 -3.3896 -4.4472 0.6987 1.3810" Properties=species:S:1:pos:R:3 pbc="T T T"
Au -0.1490 1.8179 -1.3996
Au -0.7409 -1.3656 -1.6948
La -2.2236 0.3494 0.6905
H 0.0000 0.0000 0.0000
Sb -3.1135 0.8017 -2.4039
```

- Total DFT energy (no corrections): -4.176 eV per atom
- Symmetry: No. 123
- Crystal system: tetragonal

=====

# 16
Density functional theory data (PBE) for a relaxed structure of LaSc2HAu.

extended XYZ file:
```
5
Lattice="4.5791 0.0000 0.0000 0.0000 4.5791 0.0000 0.0000 0.0000 4.7231" Properties=species:S:1:pos:R:3 pbc="T T T"
H 0.0000 0.0000 0.0000
Sc 2.2896 0.0000 0.0000
Sc 0.0000 2.2896 0.0000
Au 2.2896 2.2896 2.3615
La 0.0000 0.0000 2.3615
```

- Total DFT energy (no corrections): -5.183 eV per atom
- Symmetry: No. 123
- Crystal system: tetragonal

=====

# 17
Density functional theory data (PBE) for a relaxed structure of La2HAuSe.

extended XYZ file:
```
5
Lattice="-2.1466 -5.2743 0.8674 1.8488 0.0358 4.7933 -4.9269 2.3149 1.8830" Properties=species:S:1:pos:R:3 pbc="T T T"
La -2.4635 1.1574 0.9415
La -1.0733 -2.6372 0.4337
Se 0.9244 0.0179 2.3966
Au 0.0000 0.0000 0.0000
H -2.6124 -1.4618 3.7719
```

- Total DFT energy (no corrections): -3.874 eV per atom
- Symmetry: No. 123
- Crystal system: tetragonal

=====

# 18
Density functional theory data (PBE) for a relaxed structure of LaSnH2Au.

extended XYZ file:
```
10
Lattice="-5.1293 -0.9109 -3.9486 -2.2752 -1.5581 3.3150 -0.0270 6.3380 2.9604" Properties=species:S:1:pos:R:3 pbc="T T T"
Au -2.1978 0.0840 1.3355
Au -1.0737 4.0320 1.1582
H -3.7202 0.4281 0.4524
H -4.5024 2.6499 0.9598
H -3.3513 0.2600 -2.1779
H -2.5961 4.3762 0.2750
Sn -1.1546 2.0200 2.9615
Sn -0.0305 5.9680 2.7842
La -3.0927 2.3380 -1.0238
La -4.2439 4.7280 2.1140
```

- Excess energy over the best structure of this formula in the dataset: 64 meV per atom
- Total DFT energy (no corrections): -4.240 eV per atom
- Symmetry: No. 8
- Crystal system: monoclinic

=====

# 19
Density functional theory data (PBE) for a relaxed structure of LaSnH2Au.

extended XYZ file:
```
15
Lattice="4.7018 0.0000 0.0000 -2.3509 4.0719 0.0000 0.0000 0.0000 14.1144" Properties=species:S:1:pos:R:3 pbc="T T T"
La 0.0000 0.0000 11.8272
La 0.0000 2.7146 7.1224
La 2.3509 1.3573 2.4176
Sn 0.0000 2.7146 0.2500
Sn 0.0000 0.0000 4.9548
Sn 2.3509 1.3573 9.6596
H 2.3509 1.3573 11.7866
H 2.3509 1.3573 7.3612
H 0.0000 2.7146 12.0660
H 0.0000 0.0000 2.6564
H 0.0000 2.7146 2.3771
H 0.0000 0.0000 7.0819
Au 0.0000 2.7146 10.1197
Au 2.3509 1.3573 5.4149
Au 0.0000 0.0000 0.7101
```

- Excess energy over the best structure of this formula in the dataset: 76 meV per atom
- Total DFT energy (no corrections): -4.228 eV per atom
- Symmetry: No. 160
- Crystal system: trigonal

=====

# 20
Density functional theory data (PBE) for a relaxed structure of LaSnH2Au.

extended XYZ file:
```
10
Lattice="4.0442 0.0000 0.0000 0.0000 4.8223 0.0000 0.0000 0.0000 9.6013" Properties=species:S:1:pos:R:3 pbc="T T T"
Au 0.0000 2.4111 9.5188
Au 0.0000 0.0000 4.7181
Sn 2.0221 0.0000 8.5742
Sn 2.0221 2.4111 3.7735
La 0.0000 0.0000 1.7237
La 0.0000 2.4111 6.5243
H 2.0221 1.2329 7.0630
H 2.0221 1.1783 2.2623
H 2.0221 3.5894 7.0630
H 2.0221 3.6440 2.2623
```

- Excess energy over the best structure of this formula in the dataset: 238 meV per atom
- Total DFT energy (no corrections): -4.066 eV per atom
- Symmetry: No. 38
- Crystal system: orthorhombic